# 1
Density functional theory data (GGA-PBE) for a relaxed HfMgAl2 crystal.

The structure belongs to space group I-42d (No. 122); the cell edges are 7.4406, 7.4406 and 5.8551 Å and the angles 90.00°, 90.00° and 90.00°. Symmetry generates all atoms from Hf at (0.0000, 0.0000, 0.0000), Mg at (0.0000, 0.0000, 0.5000) and Al at (0.2346, 0.2500, 0.6250).

The calculation puts the total energy at -4.48 eV/atom. The calculated formation energy comes out at 0.28 eV per atom. The crystal system is tetragonal.



# 2
Density functional theory data (GGA-PBE) for a relaxed HfMgAl3 crystal.

The structure belongs to space group Pm-3m (No. 221); the cell edges are 4.8097, 4.8097 and 4.8097 Å and the angles 90.00°, 90.00° and 90.00°. Symmetry generates all atoms from Hf at (0.0000, 0.0000, 0.0000), Mg at (0.5000, 0.5000, 0.5000) and Al at (0.0000, 0.5000, 0.5000).

The energy above the most stable polymorph in this dataset is 9.0 kJ/mol of atoms. The calculation puts the total energy at -3.57 eV/atom. The calculated formation energy comes out at 0.98 eV per atom. The crystal system is cubic.



# 3
Density functional theory data (GGA-PBE) for a relaxed HfMg14Al crystal.

The structure belongs to space group Amm2 (No. 38); the cell edges are 10.2940, 6.2150 and 11.0834 Å and the angles 90.00°, 90.00° and 90.00°. Symmetry generates all atoms from Hf at (0.0000, 0.0000, 0.0000), Mg at (0.0000, 0.2475, 0.2493), Mg at (0.2425, 0.0000, 0.6589), Mg at (0.2446, 0.2478, 0.9132), Mg at (0.2477, 0.0000, 0.1588), Mg at (0.5000, 0.0000, 0.4973), Mg at (0.5000, 0.0000, 0.9967), Mg at (0.5000, 0.2493, 0.7475) and Al at (0.0000, 0.0000, 0.4951).

The energy above the most stable polymorph in this dataset is 0.0 kJ/mol of atoms. The calculation puts the total energy at -2.23 eV/atom. The calculated formation energy comes out at 0.02 eV per atom. The crystal system is orthorhombic.



# 4
Density functional theory data (GGA-PBE) for a relaxed HfMgAl4 crystal.

The structure belongs to space group F-43m (No. 216); the cell edges are 7.5393, 7.5393 and 7.5393 Å and the angles 90.00°, 90.00° and 90.00°. Symmetry generates all atoms from Hf at (0.0000, 0.0000, 0.0000), Mg at (0.2500, 0.2500, 0.2500) and Al at (0.1252, 0.1252, 0.6252).

The calculation puts the total energy at -4.58 eV/atom. The calculated formation energy comes out at -0.16 eV per atom. The crystal system is cubic.



# 5
Density functional theory data (GGA-PBE) for a relaxed HfMg2Al2 crystal.

The structure belongs to space group P4/mbm (No. 127); the cell edges are 7.9987, 7.9987 and 3.0249 Å and the angles 90.00°, 90.00° and 90.00°. Symmetry generates all atoms from Hf at (0.0000, 0.0000, 0.0000), Mg at (0.1241, 0.3759, 0.0000) and Al at (0.1749, 0.6749, 0.5000).

The calculation puts the total energy at -4.06 eV/atom. The calculated formation energy comes out at 0.07 eV per atom. The crystal system is tetragonal.



# 6
Density functional theory data (GGA-PBE) for a relaxed Hf2MgAl2 crystal.

The structure belongs to space group P4/mbm (No. 127); the cell edges are 8.3046, 8.3046 and 3.0434 Å and the angles 90.00°, 90.00° and 90.00°. Symmetry generates all atoms from Hf at (0.1263, 0.3737, 0.0000), Mg at (0.0000, 0.0000, 0.0000) and Al at (0.1722, 0.6722, 0.5000).

The energy above the most stable polymorph in this dataset is 18.6 kJ/mol of atoms. The calculation puts the total energy at -5.81 eV/atom. The calculated formation energy comes out at -0.01 eV per atom. The crystal system is tetragonal.



# 7
Density functional theory data (GGA-PBE) for a relaxed HfMg16Al12 crystal.

The structure belongs to space group R3m (No. 160, hexagonal axes); the cell edges are 15.0205, 15.0205 and 8.8368 Å and the angles 90.00°, 90.00° and 120.00°. Symmetry generates all atoms from Hf at (0.0000, 0.0000, 0.0000), Mg at (0.0000, 0.0000, 0.3722), Mg at (0.0059, 0.3064, 0.6794), Mg at (0.0637, 0.5319, 0.5905), Mg at (0.2177, 0.1089, 0.8790), Mg at (0.2203, 0.4406, 0.1570), Al at (0.0605, 0.1210, 0.6900), Al at (0.0911, 0.5456, 0.1100) and Al at (0.1551, 0.4871, 0.8526).

The calculation puts the total energy at -2.81 eV/atom. The calculated formation energy comes out at -0.04 eV per atom. The crystal system is trigonal.



# 8
Density functional theory data (GGA-PBE) for a relaxed HfMg6Al crystal.

The structure belongs to space group Amm2 (No. 38); the cell edges are 4.9174, 6.3336 and 11.0515 Å and the angles 90.00°, 90.00° and 90.00°. Symmetry generates all atoms from Hf at (0.0000, 0.0000, 0.0000), Mg at (0.0000, 0.0000, 0.4917), Mg at (0.0000, 0.2472, 0.2434), Mg at (0.5000, 0.0000, 0.6544), Mg at (0.5000, 0.2482, 0.9066) and Al at (0.5000, 0.0000, 0.1458).

The energy above the most stable polymorph in this dataset is 0.9 kJ/mol of atoms. The calculation puts the total energy at -2.86 eV/atom. The calculated formation energy comes out at 0.05 eV per atom. The crystal system is orthorhombic.



# 9
Density functional theory data (GGA-PBE) for a relaxed Hf2MgAlN crystal.

The structure belongs to space group P4/mmm (No. 123); the cell edges are 4.4189, 4.4189 and 4.2441 Å and the angles 90.00°, 90.00° and 90.00°. Symmetry generates all atoms from Hf at (0.0000, 0.5000, 0.0000), Mg at (0.0000, 0.0000, 0.5000), Al at (0.5000, 0.5000, 0.5000) and N at (0.0000, 0.0000, 0.0000).

The calculation puts the total energy at -7.37 eV/atom. For the uncorrected formation energy, the calculation gives -0.654 eV per atom. The crystal system is tetragonal.



# 10
Density functional theory data (GGA-PBE) for a relaxed HfMgAl2N crystal.

The structure belongs to space group P4/mmm (No. 123); the cell edges are 4.3267, 4.3267 and 4.1399 Å and the angles 90.00°, 90.00° and 90.00°. Symmetry generates all atoms from Hf at (0.0000, 0.0000, 0.0000), Mg at (0.5000, 0.5000, 0.0000), Al at (0.0000, 0.5000, 0.5000) and N at (0.5000, 0.5000, 0.5000).

The calculation puts the total energy at -5.42 eV/atom. For the uncorrected formation energy, the calculation gives 0.049 eV per atom. The crystal system is tetragonal.



# 11
Density functional theory data (GGA-PBE) for a relaxed HfMgAlOs crystal.

The structure belongs to space group F-43m (No. 216); the cell edges are 6.4396, 6.4396 and 6.4396 Å and the angles 90.00°, 90.00° and 90.00°. Symmetry generates all atoms from Hf at (0.0000, 0.0000, 0.0000), Mg at (0.2500, 0.2500, 0.7500), Al at (0.0000, 0.0000, 0.5000) and Os at (0.2500, 0.2500, 0.2500).

The calculation puts the total energy at -6.93 eV/atom. The calculated formation energy comes out at -0.30 eV per atom. The crystal system is cubic.



# 12
Density functional theory data (GGA-PBE) for a relaxed PmHfMgAl crystal.

The structure belongs to space group F-43m (No. 216); the cell edges are 7.1476, 7.1476 and 7.1476 Å and the angles 90.00°, 90.00° and 90.00°. Symmetry generates all atoms from Pm at (0.0000, 0.0000, 0.0000), Hf at (0.0000, 0.0000, 0.5000), Mg at (0.2500, 0.2500, 0.7500) and Al at (0.2500, 0.2500, 0.2500).

The calculation puts the total energy at -5.10 eV/atom. The calculated formation energy comes out at -0.09 eV per atom. The crystal system is cubic.



# 13
Density functional theory data (GGA-PBE) for a relaxed HfMgAl2Pt2 crystal.

The structure belongs to space group P-3m1 (No. 164); the cell edges are 4.4006, 4.4006 and 6.0048 Å and the angles 90.00°, 90.00° and 120.00°. Symmetry generates all atoms from Hf at (0.0000, 0.0000, 0.0000), Mg at (0.0000, 0.0000, 0.5000), Al at (0.3333, 0.6667, 0.7239) and Pt at (0.3333, 0.6667, 0.2442).

The calculation puts the total energy at -6.07 eV/atom. The calculated formation energy comes out at -0.89 eV per atom. The crystal system is trigonal.



# 14
Density functional theory data (GGA-PBE) for a relaxed RbHf2MgAl crystal.

The structure belongs to space group P4/mmm (No. 123); the cell edges are 5.3380, 5.3380 and 5.1003 Å and the angles 90.00°, 90.00° and 90.00°. Symmetry generates all atoms from Rb at (0.0000, 0.0000, 0.0000), Hf at (0.0000, 0.5000, 0.5000), Mg at (0.5000, 0.5000, 0.5000) and Al at (0.5000, 0.5000, 0.0000).

The calculation puts the total energy at -3.92 eV/atom. The calculated formation energy comes out at 1.32 eV per atom. The crystal system is tetragonal.



# 15
Density functional theory data (GGA-PBE) for a relaxed Hf2MgAl2Rh5 crystal.

The structure belongs to space group P4/mbm (No. 127); the cell edges are 9.6327, 9.6327 and 3.4364 Å and the angles 90.00°, 90.00° and 90.00°. Symmetry generates all atoms from Hf at (0.1756, 0.3244, 0.0000), Mg at (0.0000, 0.0000, 0.0000), Al at (0.1241, 0.6241, 0.0000), Rh at (0.0000, 0.5000, 0.5000) and Rh at (0.0745, 0.7948, 0.5000).

The calculation puts the total energy at -7.34 eV/atom. The calculated formation energy comes out at -0.77 eV per atom. The crystal system is tetragonal.



# 16
Density functional theory data (GGA-PBE) for a relaxed HfMgAlRu crystal.

The structure belongs to space group F-43m (No. 216); the cell edges are 6.4436, 6.4436 and 6.4436 Å and the angles 90.00°, 90.00° and 90.00°. Symmetry generates all atoms from Hf at (0.0000, 0.0000, 0.0000), Mg at (0.2500, 0.2500, 0.2500), Al at (0.0000, 0.0000, 0.5000) and Ru at (0.2500, 0.2500, 0.7500).

The calculation puts the total energy at -6.47 eV/atom. The calculated formation energy comes out at -0.33 eV per atom. The crystal system is cubic.



# 17
Density functional theory data (GGA-PBE) for a relaxed Hf2MgAlSb crystal.

The structure belongs to space group P4/mmm (No. 123); the cell edges are 5.0689, 5.0689 and 4.7991 Å and the angles 90.00°, 90.00° and 90.00°. Symmetry generates all atoms from Hf at (0.0000, 0.5000, 0.0000), Mg at (0.0000, 0.0000, 0.5000), Al at (0.0000, 0.0000, 0.0000) and Sb at (0.5000, 0.5000, 0.5000).

The calculation puts the total energy at -5.36 eV/atom. For the uncorrected formation energy, the calculation gives 0.509 eV per atom. The crystal system is tetragonal.



# 18
Density functional theory data (GGA-PBE) for a relaxed HfMgAlV2 crystal.

The structure belongs to space group P4/mmm (No. 123); the cell edges are 4.6008, 4.6008 and 4.9480 Å and the angles 90.00°, 90.00° and 90.00°. Symmetry generates all atoms from Hf at (0.0000, 0.0000, 0.0000), Mg at (0.0000, 0.0000, 0.5000), Al at (0.5000, 0.5000, 0.0000) and V at (0.0000, 0.5000, 0.5000).

The calculation puts the total energy at -5.25 eV/atom. The calculated formation energy comes out at 1.45 eV per atom. The crystal system is tetragonal.



# 19
Density functional theory data (GGA-PBE) for a relaxed HfMgAlZn2 crystal.

The structure belongs to space group P4/mmm (No. 123); the cell edges are 5.1424, 5.1424 and 5.2487 Å and the angles 90.00°, 90.00° and 90.00°. Symmetry generates all atoms from Hf at (0.0000, 0.0000, 0.0000), Mg at (0.5000, 0.5000, 0.5000), Al at (0.0000, 0.0000, 0.5000) and Zn at (0.0000, 0.5000, 0.0000).

The calculation puts the total energy at -2.70 eV/atom. The calculated formation energy comes out at 0.87 eV per atom. The crystal system is tetragonal.



# 20
Density functional theory data (GGA-PBE) for a relaxed HfMg2AlZn crystal.

The structure belongs to space group P4/mmm (No. 123); the cell edges are 5.6692, 5.6692 and 5.0569 Å and the angles 90.00°, 90.00° and 90.00°. Symmetry generates all atoms from Hf at (0.0000, 0.0000, 0.0000), Mg at (0.0000, 0.5000, 0.0000), Al at (0.5000, 0.5000, 0.5000) and Zn at (0.0000, 0.0000, 0.5000).

The calculation puts the total energy at -2.40 eV/atom. The calculated formation energy comes out at 1.23 eV per atom. The crystal system is tetragonal.